No. 1
VASP calculation (GGA-PBE) on crystalline CrBiP2Br at its relaxed geometry.

Calculated total energy in eV per formula unit: -18.934
Formation energy (no corrections) in kJ/mol of formula units: 681

Cell: 5.0773 5.0773 4.4161 Å, 90.00 90.00 90.00°
Last column: nearest neighbours and their distance in Å.
Space group P4/mmm (No. 123)
Unique sites:
Cr: 0.0000 0.0000 0.0000 (multiplicity 1)  2 Br 2.21
Bi: 0.5000 0.5000 0.0000 (multiplicity 1)  8 P 3.36, 4 Cr 3.59
P: 0.0000 0.5000 0.5000 (multiplicity 2)  2 Br 2.54
Br: 0.0000 0.0000 0.5000 (multiplicity 1)  2 Cr 2.21

No. 2
VASP calculation (GGA-PBE) on crystalline CrBiSeBr2 at its relaxed geometry.

Calculated total energy in eV per formula unit: -20.870
Formation energy (no corrections) in kJ/mol of formula units: -52

Cell: 5.0127 5.0127 5.1739 Å, 90.00 90.00 90.00°
Last column: nearest neighbours and their distance in Å.
Space group P4/mmm (No. 123)
Unique sites:
Cr: 0.0000 0.0000 0.0000 (multiplicity 1)  4 Br 2.51, 2 Se 2.59
Bi: 0.5000 0.5000 0.5000 (multiplicity 1)  4 Se 3.54, 8 Br 3.60
Se: 0.0000 0.0000 0.5000 (multiplicity 1)  2 Cr 2.59
Br: 0.0000 0.5000 0.0000 (multiplicity 2)  2 Cr 2.51

No. 3
VASP calculation (GGA-PBE) on crystalline CrBiTeBr2 at its relaxed geometry.

Calculated total energy in eV per formula unit: -16.925
Formation energy (no corrections) in kJ/mol of formula units: 296

Cell: 5.5281 5.5281 6.2314 Å, 90.00 90.00 90.00°
Last column: nearest neighbours and their distance in Å.
Space group P4/mmm (No. 123)
Unique sites:
Cr: 0.0000 0.0000 0.0000 (multiplicity 1)  4 Bi 3.91, 8 Br 4.17
Bi: 0.5000 0.5000 0.0000 (multiplicity 1)  2 Te 3.12
Te: 0.5000 0.5000 0.5000 (multiplicity 1)  4 Br 2.76
Br: 0.0000 0.5000 0.5000 (multiplicity 2)  2 Te 2.76

No. 4
VASP calculation (GGA-PBE) on crystalline Zn2CrBiBr at its relaxed geometry.

Calculated total energy in eV per formula unit: -13.843
Formation energy (no corrections) in kJ/mol of formula units: 375

Cell: 5.4904 5.4904 5.8817 Å, 90.00 90.00 90.00°
Last column: nearest neighbours and their distance in Å.
Space group P4/mmm (No. 123)
Unique sites:
Zn: 0.0000 0.5000 0.0000 (multiplicity 2)  2 Bi 2.75
Cr: 0.0000 0.0000 0.5000 (multiplicity 1)  4 Br 3.88, 8 Zn 4.02
Bi: 0.5000 0.5000 0.0000 (multiplicity 1)  4 Zn 2.75, 2 Br 2.94
Br: 0.5000 0.5000 0.5000 (multiplicity 1)  2 Bi 2.94